# TaRe2Hg (PBE, relaxed)
data_TaRe2Hg
_symmetry_space_group_name_H-M 'P 1'
_symmetry_Int_Tables_number 1
_cell_length_a 2.778
_cell_length_b 4.560
_cell_length_c 5.437
_cell_angle_alpha 90.00
_cell_angle_beta 99.56
_cell_angle_gamma 90.00
loop_
_symmetry_equiv_pos_as_xyz
'x,y,z'
loop_
_atom_site_label
_atom_site_fract_x
_atom_site_fract_y
_atom_site_fract_z
Ta1 0.000 0.000 0.000
Re1 0.220 0.500 0.757
Re2 0.780 0.500 0.243
Hg1 0.500 0.000 0.500
# formation energy	0.4928	eV/atom
# size of the total moment	0.000	μB/f.u.
# symmetry	No. 10
# E_tot	-8.770	eV per atom
# N(E_F)	2.53	states/eV per cell